Record 1
## AlSiF3 (GGA-PBE)

Data for an optimized crystal structure of AlSiF3.

Results
Energy relative to the elements, uncorrected = -1.4298 eV/atom
Volume = 16.07 Å³/atom
Symmetry = Pm-3m
Total magnetization = 0.000 μB per atom
ΔE to the lowest computed polymorph = 155 meV per atom
Raw total energy = -4.386 eV/atom

Lattice parameters (Å, degrees): 4.315 4.315 4.315 90.00 90.00 90.00
Atoms (fractional coordinates):
Si (0.000, 0.000, 0.000)
Al (0.500, 0.500, 0.500)
F (0.000, 0.500, 0.000)
F (0.000, 0.000, 0.500)
F (0.500, 0.000, 0.000)

Record 2
## AlSiF (GGA-PBE)

Data for an optimized crystal structure of AlSiF.

Results
Energy relative to the elements, uncorrected = -1.2375 eV/atom
Volume = 16.10 Å³/atom
Symmetry = Cm
Total magnetization = 0.000 μB per atom
ΔE to the lowest computed polymorph = 91 meV per atom
Raw total energy = -4.916 eV/atom

Lattice parameters (Å, degrees): 4.046 3.013 16.144 90.00 100.96 90.00
Atoms (fractional coordinates):
Si (0.390, 0.000, 0.032)
Si (0.390, 0.500, 0.532)
Si (0.368, 0.000, 0.887)
Si (0.368, 0.500, 0.387)
Al (0.838, 0.000, 0.341)
Al (0.838, 0.500, 0.841)
Al (0.945, 0.000, 0.123)
Al (0.945, 0.500, 0.623)
F (0.134, 0.000, 0.676)
F (0.134, 0.500, 0.176)
F (0.737, 0.000, 0.228)
F (0.737, 0.500, 0.728)

Record 3
## AlSiF3 (GGA-PBE)

Data for an optimized crystal structure of AlSiF3.

Results
Energy relative to the elements, uncorrected = -1.5850 eV/atom
Volume = 12.84 Å³/atom
Symmetry = Pm-3m
Total magnetization = 0.000 μB per atom
ΔE to the lowest computed polymorph = 0 meV per atom
Raw total energy = -4.541 eV/atom

Lattice parameters (Å, degrees): 4.004 4.004 4.004 90.00 90.00 90.00
Atoms (fractional coordinates):
Si (0.500, 0.500, 0.500)
Al (0.000, 0.000, 0.000)
F (0.000, 0.500, 0.000)
F (0.000, 0.000, 0.500)
F (0.500, 0.000, 0.000)